1.
CrP2Pd2: relaxed, GGA-PBE.

abc: 6.018 6.018 4.172
angles: 90.00 90.00 90.00
Fractional positions:
Pd1 0.745 0.755 0.500
P1 0.128 0.372 0.000
Cr1 0.000 0.000 0.000
Cr2 0.500 0.500 0.000
P2 0.628 0.128 0.000
P3 0.872 0.628 0.000
Pd2 0.755 0.255 0.500
P4 0.372 0.872 0.000
Pd3 0.255 0.245 0.500
Pd4 0.245 0.745 0.500

Values from the calculation:
* total moment: 5.412 μB/cell
* SG: P4/mbm
* energy of formation: -0.27 eV per atom
* crystal system: tetragonal

---

2.
PuNbFe2: relaxed, GGA-PBE.

abc: 4.494 4.494 4.494
angles: 60.00 60.00 60.00
Fractional positions:
Pu1 0.000 0.000 0.000
Nb1 0.500 0.500 0.500
Fe1 0.250 0.250 0.250
Fe2 0.750 0.750 0.750

Values from the calculation:
* total moment: 2.525 μB/cell
* SG: Fm-3m
* energy of formation: 0.14 eV per atom
* crystal system: cubic
* offset from the most stable computed form: 75 meV/atom

---

3.
Sm8ErTm5: relaxed, GGA-PBE.

abc: 8.478 8.483 8.478
angles: 111.04 106.31 111.09
Fractional positions:
Sm1 0.663 0.395 0.921
Sm2 0.571 0.915 0.838
Sm3 0.526 0.605 0.268
Er1 0.250 0.500 0.750
Sm4 0.079 0.742 0.474
Tm1 0.816 0.686 0.721
Tm2 0.279 0.095 0.965
Sm5 0.343 0.266 0.429
Tm3 0.500 0.000 0.500
Sm6 0.732 0.258 0.337
Tm4 0.035 0.314 0.130
Sm7 0.163 0.734 0.077
Tm5 0.869 0.905 0.183
Sm8 0.923 0.085 0.657

Values from the calculation:
* total moment: 0.000 μB/cell
* SG: I-4
* energy of formation: 0.26 eV per atom
* crystal system: tetragonal

---

4.
PaSbPdS: relaxed, GGA-PBE.

abc: 4.373 4.373 8.712
angles: 90.00 90.00 90.00
Fractional positions:
S1 0.500 0.500 0.500
S2 0.000 0.000 0.500
Pa1 0.500 0.000 0.698
Sb1 0.500 0.000 0.184
Pa2 0.000 0.500 0.302
Pd1 0.000 0.000 0.000
Pd2 0.500 0.500 0.000
Sb2 0.000 0.500 0.816

Values from the calculation:
* total moment: 0.000 μB/cell
* SG: P4/nmm
* crystal system: tetragonal
* energy relative to the elements, uncorrected: -1.014 eV/atom

---

5.
Nd2TeI: relaxed, GGA-PBE.

abc: 4.344 4.344 8.599
angles: 75.37 75.37 60.00
Fractional positions:
Nd1 0.237 0.237 0.288
I1 0.000 0.000 0.000
Nd2 0.763 0.763 0.712
Te1 0.500 0.500 0.500

Values from the calculation:
* total moment: 0.000 μB/cell
* SG: R-3m
* crystal system: trigonal
* energy relative to the elements, uncorrected: -1.088 eV/atom
* offset from the most stable computed form: 38 meV/atom

---

6.
NaTi2Cu: relaxed, GGA-PBE.

abc: 3.752 3.752 10.689
angles: 79.89 79.89 90.00
Fractional positions:
Ti1 0.641 0.125 0.250
Cu1 0.750 0.250 0.500
Na1 0.500 0.500 0.000
Na2 0.250 0.750 0.500
Ti2 0.375 0.359 0.750
Ti3 0.109 0.625 0.250
Cu2 0.000 0.000 0.000
Ti4 0.875 0.891 0.750

Values from the calculation:
* total moment: 0.000 μB/cell
* SG: I-42d
* energy of formation: 0.72 eV per atom
* crystal system: tetragonal
* offset from the most stable computed form: 128 meV/atom